VASP calculation (GGA-PBE) on a relaxed structure of Y2SiB3.

```
12
Lattice="0.000 4.054 5.919 3.424 0.000 5.919 3.424 4.054 0.000" Properties=species:S:1:pos:R:3 pbc="T T T"
Y 3.424 1.986 5.919
Y 1.712 2.027 2.960
Y 5.135 6.081 8.879
Y 3.424 6.122 5.919
Si 3.424 4.054 3.955
Si 3.424 4.054 7.884
B 3.424 4.054 1.828
B 5.264 4.054 5.007
B 5.264 4.054 6.831
B 1.584 4.054 5.007
B 1.584 4.054 6.831
B 3.424 4.054 10.011
```



4
Lattice="2.603 0.000 0.000 -0.006 3.387 0.000 -1.289 -0.371 5.009" Properties=species:S:1:pos:R:3 comment="CoHCS (GGA-PBE, relaxed)" de_polymorph_ev_per_atom=0.218 pbc="T T T"
Co 0.000 0.000 0.000
H 1.311 1.328 5.001
C 0.013 -0.212 3.799
S 0.014 0.505 2.258



6
Lattice="2.215 -6.884 0.000 2.215 6.884 0.000 0.000 0.000 4.355" Properties=species:S:1:pos:R:3 comment="Hf4CdSn (GGA-PBE, relaxed)" delta_e_f_ev_per_atom=-0.179 pbc="T T T"
Hf 2.215 4.539 0.000
Hf 2.215 2.374 2.178
Hf 2.215 -2.374 2.178
Hf 2.215 -4.539 0.000
Cd 2.215 0.000 0.000
Sn 0.000 0.000 2.178



10
Lattice="4.230 0.000 0.000 0.000 4.230 0.000 0.000 0.000 10.175" Properties=species:S:1:pos:R:3 comment="Th2Zn4GaCu3 (GGA-PBE, relaxed)" delta_e_f_ev_per_atom=-0.249 pbc="T T T"
Th 0.000 2.115 2.518
Th 2.115 0.000 7.656
Zn 0.000 0.000 0.000
Zn 0.000 2.115 6.458
Zn 2.115 0.000 3.716
Zn 2.115 2.115 0.000
Ga 0.000 0.000 5.087
Cu 0.000 2.115 8.859
Cu 2.115 0.000 1.316
Cu 2.115 2.115 5.087



VASP calculation (GGA-PBE) on a relaxed structure of K2Zn2CdTe4.

```
9
Lattice="8.684 -2.170 0.000 8.684 2.170 0.000 -2.758 0.000 7.828" Properties=species:S:1:pos:R:3 pbc="T T T"
K 2.050 0.000 0.331
K 12.561 0.000 7.497
Zn 4.239 0.000 4.052
Zn 10.372 0.000 3.775
Cd -1.379 0.000 3.914
Te 1.789 0.000 5.404
Te 6.303 0.000 5.708
Te 8.308 0.000 2.120
Te 12.822 0.000 2.424
```



9
Lattice="4.016 0.000 0.000 0.000 4.016 0.000 0.000 0.000 11.608" Properties=species:S:1:pos:R:3 comment="ErThAs2Rh5 (GGA-PBE, relaxed)" delta_e_f_ev_per_atom=-0.473 pbc="T T T"
Er 0.000 0.000 0.000
Th 2.008 2.008 5.804
As 2.008 2.008 2.371
As 2.008 2.008 9.237
Rh 0.000 2.008 3.724
Rh 0.000 2.008 7.885
Rh 2.008 0.000 3.724
Rh 2.008 0.000 7.885
Rh 2.008 2.008 0.000



VASP calculation (GGA-PBE) on a relaxed structure of Ba2InTeIr.

```
5
Lattice="6.019 0.000 0.000 0.000 6.019 0.000 0.000 0.000 5.158" Properties=species:S:1:pos:R:3 pbc="T T T"
Ba 0.000 3.010 0.000
Ba 3.010 0.000 0.000
In 0.000 0.000 2.579
Te 3.010 3.010 2.579
Ir 0.000 0.000 0.000
```



10
Lattice="6.547 -1.851 0.000 6.547 1.851 0.000 -0.796 0.000 12.504" Properties=species:S:1:pos:R:3 comment="LaEr3Cd (GGA-PBE, relaxed)" delta_e_f_ev_per_atom=-0.102 pbc="T T T"
La 2.912 0.000 3.139
La 9.386 0.000 9.365
Er -0.090 0.000 8.591
Er 1.128 0.000 11.917
Er 4.383 0.000 6.530
Er 7.916 0.000 5.974
Er 11.170 0.000 0.587
Er 12.389 0.000 3.913
Cd 5.243 0.000 10.898
Cd 7.055 0.000 1.606



What are the raw total energy values for these records? In order: -7.03 -5.41 -7.63 -3.77 -2.67 -6.92 -4.42 -4.01 eV per atom.
What are the magnetic moment values for these records? In order: 0.0 0.0 0.0 0.0 0.0 0.0 0.0 0.0 μB per formula unit.